Entry 1:
RbTiCu2F8 | PBE | relaxed

a = 5.1311 Å, b = 5.1311 Å, c = 9.1594 Å
α = 73.73°, β = 73.73°, γ = 60.00°
Last column: nearest neighbours and their distance in Å.
Sites, in units of the cell vectors:
F 0.8479 0.5195 0.3603  1 Ti 1.91, 1 Cu 2.03
Ti 0.5000 0.5000 0.5000  6 F 1.91
F 0.2723 0.8479 0.3603  1 Ti 1.91, 1 Cu 2.03
F 0.6760 0.6760 0.9719  1 Cu 1.84
F 0.5195 0.2723 0.3603  1 Ti 1.91, 1 Cu 2.03
Cu 0.2532 0.2532 0.2405  4 F 1.84-2.03
F 0.3240 0.3240 0.0281  1 Cu 1.84
F 0.7277 0.4805 0.6397  1 Ti 1.91, 1 Cu 2.03
F 0.4805 0.1521 0.6397  1 Ti 1.91, 1 Cu 2.03
Rb 0.0000 0.0000 0.0000  6 F 2.97
F 0.1521 0.7277 0.6397  1 Ti 1.91, 1 Cu 2.03
Cu 0.7468 0.7468 0.7595  4 F 1.84-2.03

Summary:
M_tot ... 1.0 μB/f.u.
ΔE_f (raw) ... -2345 meV/atom



Entry 2:
As4RhBr | PBE | relaxed

a = 5.7251 Å, b = 5.7251 Å, c = 5.7251 Å
α = 60.00°, β = 60.00°, γ = 60.00°
Last column: nearest neighbours and their distance in Å.
Sites, in units of the cell vectors:
Rh 0.0000 0.0000 0.0000  12 As 3.40, 4 Br 3.51
As 0.3889 0.3889 0.8333  3 As 2.54
As 0.8333 0.3889 0.3889  3 As 2.54
As 0.3889 0.8333 0.3889  3 As 2.54
Br 0.7500 0.7500 0.7500  12 As 3.33, 4 Rh 3.51
As 0.3889 0.3889 0.3889  3 As 2.54

Summary:
M_tot ... 2.0 μB/f.u.
ΔE_f (raw) ... 660 meV/atom



Entry 3:
Cu4Si3 | PBE | relaxed

a = 4.8305 Å, b = 4.8305 Å, c = 4.8305 Å
α = 90.00°, β = 90.00°, γ = 90.00°
Last column: nearest neighbours and their distance in Å.
Sites, in units of the cell vectors:
Cu 0.0000 0.0000 0.0000  6 Si 2.42
Cu 0.5000 0.5000 0.0000  4 Si 2.42
Cu 0.5000 0.0000 0.5000  4 Si 2.42
Cu 0.0000 0.5000 0.5000  4 Si 2.42
Si 0.0000 0.5000 0.0000  6 Cu 2.42
Si 0.5000 0.0000 0.0000  6 Cu 2.42
Si 0.0000 0.0000 0.5000  6 Cu 2.42

Summary:
M_tot ... 0.0 μB/f.u.
ΔE_f (raw) ... 460 meV/atom



Entry 4:
Be2CuTeRh | PBE | relaxed

a = 4.1669 Å, b = 5.2506 Å, c = 4.1669 Å
α = 90.00°, β = 90.00°, γ = 90.00°
Last column: nearest neighbours and their distance in Å.
Sites, in units of the cell vectors:
Be 0.5000 0.0000 0.0000  2 Rh 2.08
Rh 0.0000 0.0000 0.0000  4 Be 2.08
Te 0.0000 0.5000 0.0000  2 Rh 2.63
Be 0.0000 0.0000 0.5000  2 Rh 2.08
Cu 0.5000 0.5000 0.5000  4 Te 2.95

Summary:
M_tot ... 0.0 μB/f.u.
ΔE_f (raw) ... 522 meV/atom



Entry 5:
Sm3ScTl4 | PBE | relaxed

a = 6.5821 Å, b = 6.5156 Å, c = 10.6139 Å
α = 90.00°, β = 90.00°, γ = 90.00°
Last column: nearest neighbours and their distance in Å.
Sites, in units of the cell vectors:
Tl 0.8620 0.4908 0.5000  1 Sc 3.12, 2 Tl 3.22-3.43, 2 Sm 3.26
Tl 0.5597 0.7647 0.2642  1 Sc 3.04, 1 Tl 3.25, 5 Sm 3.25-3.32
Tl 0.3620 0.5092 0.0000  1 Sc 3.12, 2 Tl 3.22-3.43, 2 Sm 3.26
Tl 0.7620 0.0075 0.5000  4 Tl 3.22-3.43, 4 Sm 3.26-3.51
Sc 0.8930 0.4404 0.0000  3 Tl 3.04-3.12, 1 Sm 3.29
Sc 0.3930 0.5596 0.5000  3 Tl 3.04-3.12, 1 Sm 3.29
Sm 0.2531 0.0743 0.5000  4 Tl 3.25-3.38, 2 Sc 3.29-3.48, 2 Sm 3.59
Sm 0.5628 0.2673 0.7620  6 Tl 3.25-3.51, 2 Sc 3.52-3.55, 1 Sm 3.59
Tl 0.0597 0.2353 0.2358  1 Sc 3.04, 1 Tl 3.25, 5 Sm 3.25-3.32
Sm 0.0628 0.7327 0.2620  6 Tl 3.25-3.51, 2 Sc 3.52-3.55, 1 Sm 3.59
Sm 0.5628 0.2673 0.2380  6 Tl 3.25-3.51, 2 Sc 3.52-3.55, 1 Sm 3.59
Sm 0.7531 0.9257 0.0000  4 Tl 3.25-3.38, 2 Sc 3.29-3.48, 2 Sm 3.59
Sm 0.0628 0.7327 0.7380  6 Tl 3.25-3.51, 2 Sc 3.52-3.55, 1 Sm 3.59
Tl 0.5597 0.7647 0.7358  1 Sc 3.04, 1 Tl 3.25, 5 Sm 3.25-3.32
Tl 0.2620 0.9925 0.0000  4 Tl 3.22-3.43, 4 Sm 3.26-3.51
Tl 0.0597 0.2353 0.7642  1 Sc 3.04, 1 Tl 3.25, 5 Sm 3.25-3.32

Summary:
M_tot ... 0.0 μB/f.u.
DFT formation energy ... -0.231 eV/atom



Entry 6:
SmZn2Pt2 | PBE | relaxed

a = 4.6014 Å, b = 4.8397 Å, c = 8.5369 Å
α = 82.29°, β = 90.00°, γ = 90.00°
Last column: nearest neighbours and their distance in Å.
Sites, in units of the cell vectors:
Pt 0.2500 0.6327 0.5985  5 Zn 2.55-2.62
Pt 0.7500 0.7011 0.0064  4 Zn 2.64-2.68
Pt 0.7500 0.3673 0.4015  5 Zn 2.55-2.62
Sm 0.7500 0.2873 0.7656  7 Pt 3.02-3.27, 7 Zn 3.15-3.35
Pt 0.2500 0.2989 0.9936  4 Zn 2.64-2.68
Sm 0.2500 0.7127 0.2344  7 Pt 3.02-3.27, 7 Zn 3.15-3.35
Zn 0.7500 0.8451 0.4960  4 Pt 2.55-2.62, 2 Zn 2.75
Zn 0.7500 0.1731 0.1380  5 Pt 2.55-2.68
Zn 0.2500 0.1549 0.5040  4 Pt 2.55-2.62, 2 Zn 2.75
Zn 0.2500 0.8269 0.8620  5 Pt 2.55-2.68

Summary:
M_tot ... 0.0 μB/f.u.
DFT formation energy ... -0.759 eV/atom



What is the formula in the third record?
Cu4Si3



What is the M_tot in the fifth record?
0.0 μB/f.u.



Which of these has the highest M_tot?
As4RhBr



M_tot of number 3 (Cu4Si3)?
0.0 μB/f.u.